Arrangement a

Below is a relaxed structure of LuTiPt2, with properties calculated at the PBE-GGA level.

Computed properties:
Its size of the total moment is 0.005 μB/atom.

Lattice parameters (Å, degrees): 4.4637 4.4637 5.0999 64.05 64.05 60.00
Last column: nearest neighbours and their distance in Å.
Fractional coordinates of all 4 atoms:
Lu 0.0000 0.0000 0.0000  8 Pt 2.88-2.99
Pt 0.7818 0.7818 0.6545  3 Ti 2.67, 1 Lu 2.88, 3 Pt 2.91
Pt 0.2182 0.2182 0.3455  3 Ti 2.67, 1 Lu 2.88, 3 Pt 2.91
Ti 0.5000 0.5000 0.5000  6 Pt 2.67

=====

Arrangement b

Below is a relaxed structure of LuTiPt2, with properties calculated at the PBE-GGA level.

Computed properties:
Its size of the total moment is 0.009 μB/atom.

Lattice parameters (Å, degrees): 3.2128 3.2128 6.9757 90.00 90.00 90.00
Last column: nearest neighbours and their distance in Å.
Fractional coordinates of all 4 atoms:
Lu 0.5000 0.5000 0.5000  8 Pt 3.02, 4 Lu 3.21
Pt 0.0000 0.0000 0.7862  4 Ti 2.72, 1 Pt 2.98, 4 Lu 3.02
Pt 0.0000 0.0000 0.2138  4 Ti 2.72, 1 Pt 2.98, 4 Lu 3.02
Ti 0.5000 0.5000 0.0000  8 Pt 2.72

=====

Arrangement c

Below is a relaxed structure of LuTiPt2, with properties calculated at the PBE-GGA level.

Computed properties:
Its size of the total moment is 0.001 μB/atom.

Lattice parameters (Å, degrees): 2.9914 4.8839 4.8839 90.00 90.00 90.00
Last column: nearest neighbours and their distance in Å.
Fractional coordinates of all 4 atoms:
Lu 0.5000 0.5000 0.5000  8 Pt 2.86, 2 Lu 2.99
Pt 0.0000 0.0000 0.5000  4 Ti 2.86, 4 Lu 2.86, 2 Pt 2.99
Pt 0.0000 0.5000 0.0000  4 Lu 2.86, 4 Ti 2.86, 2 Pt 2.99
Ti 0.5000 0.0000 0.0000  8 Pt 2.86, 2 Ti 2.99

=====

Verdict on stability: arrangement c comes out at the bottom.

=====

Arrangement a

Below is a relaxed structure of TmLu2Pt, with properties calculated at the PBE-GGA level.

Computed properties:
Its size of the total moment is 0.084 μB/atom.

Lattice parameters (Å, degrees): 3.4901 3.4901 8.2529 90.00 90.00 90.00
Last column: nearest neighbours and their distance in Å.
Fractional coordinates of all 4 atoms:
Lu 0.0000 0.0000 0.8034  4 Pt 2.95, 1 Lu 3.25
Lu 0.0000 0.0000 0.1966  4 Pt 2.95, 1 Lu 3.25
Tm 0.5000 0.5000 0.5000  4 Tm 3.49, 8 Lu 3.52
Pt 0.5000 0.5000 0.0000  8 Lu 2.95

=====

Arrangement b

Below is a relaxed structure of TmLu2Pt, with properties calculated at the PBE-GGA level.

Computed properties:
Its size of the total moment is 0.001 μB/atom.

Lattice parameters (Å, degrees): 3.7636 3.7636 9.4670 78.53 78.53 60.00
Last column: nearest neighbours and their distance in Å.
Fractional coordinates of all 4 atoms:
Lu 0.2719 0.2719 0.1844  3 Pt 2.76
Lu 0.7281 0.7281 0.8156  3 Pt 2.76
Tm 0.5000 0.5000 0.5000  6 Lu 3.63, 6 Tm 3.76
Pt 0.0000 0.0000 0.0000  6 Lu 2.76

=====

Verdict on stability: arrangement b comes out at the bottom.

=====

Arrangement a

Below is a relaxed structure of LuVPt2, with properties calculated at the PBE-GGA level.

Computed properties:
Its size of the total moment is 0.754 μB/atom.

Lattice parameters (Å, degrees): 3.6866 4.3504 4.3504 90.00 90.00 90.00
Last column: nearest neighbours and their distance in Å.
Fractional coordinates of all 4 atoms:
Lu 0.5000 0.5000 0.5000  8 Pt 2.85, 4 V 3.08
Pt 0.0000 0.0000 0.5000  4 Lu 2.85, 4 V 2.85, 4 Pt 3.08
Pt 0.0000 0.5000 0.0000  4 Lu 2.85, 4 V 2.85, 4 Pt 3.08
V 0.5000 0.0000 0.0000  8 Pt 2.85, 4 Lu 3.08

=====

Arrangement b

Below is a relaxed structure of LuVPt2, with properties calculated at the PBE-GGA level.

Computed properties:
Its size of the total moment is 0.633 μB/atom.

Lattice parameters (Å, degrees): 3.3027 3.3027 6.4688 90.00 90.00 90.00
Last column: nearest neighbours and their distance in Å.
Fractional coordinates of all 4 atoms:
Lu 0.5000 0.5000 0.5000  8 Pt 2.95, 2 V 3.23, 4 Lu 3.30
Pt 0.0000 0.0000 0.7784  4 V 2.74, 1 Pt 2.87, 4 Lu 2.95
Pt 0.0000 0.0000 0.2216  4 V 2.74, 1 Pt 2.87, 4 Lu 2.95
V 0.5000 0.5000 0.0000  8 Pt 2.74

=====

Verdict on stability: arrangement b comes out at the bottom.

=====

Arrangement a

Below is a relaxed structure of Lu3Pu, with properties calculated at the PBE-GGA level.

Computed properties:
Its size of the total moment is 1.566 μB/atom.

Lattice parameters (Å, degrees): 5.4697 5.4697 5.4697 60.00 60.00 60.00
Last column: nearest neighbours and their distance in Å.
Fractional coordinates of all 4 atoms:
Lu 0.0000 0.0000 0.0000  8 Lu 3.35
Lu 0.7500 0.7500 0.7500  4 Pu 3.35, 4 Lu 3.35
Lu 0.2500 0.2500 0.2500  4 Pu 3.35, 4 Lu 3.35
Pu 0.5000 0.5000 0.5000  8 Lu 3.35

=====

Arrangement b

Below is a relaxed structure of Lu3Pu, with properties calculated at the PBE-GGA level.

Computed properties:
Its size of the total moment is 1.754 μB/atom.

Lattice parameters (Å, degrees): 4.8648 4.8648 5.9270 114.23 114.23 90.00
Last column: nearest neighbours and their distance in Å.
Fractional coordinates of all 4 atoms:
Lu 0.7500 0.2500 0.5000  8 Lu 3.43-3.44, 4 Pu 3.43
Lu 0.2500 0.7500 0.5000  8 Lu 3.43-3.44, 4 Pu 3.43
Lu 0.5000 0.5000 0.0000  8 Lu 3.43, 4 Pu 3.44
Pu 0.0000 0.0000 0.0000  12 Lu 3.43-3.44

=====

Arrangement c

Below is a relaxed structure of Lu3Pu, with properties calculated at the PBE-GGA level.

Computed properties:
Its size of the total moment is 1.678 μB/atom.

Lattice parameters (Å, degrees): 3.4231 6.0273 6.5477 117.40 105.15 90.00
Last column: nearest neighbours and their distance in Å.
Fractional coordinates of all 4 atoms:
Lu 0.2515 0.5839 0.5030  3 Pu 3.41-3.43, 9 Lu 3.42-3.47
Lu 0.5000 0.4986 0.0000  8 Lu 3.42-3.43, 4 Pu 3.44-3.49
Lu 0.7485 0.0809 0.4970  3 Pu 3.41-3.43, 9 Lu 3.42-3.47
Pu 0.0000 0.0032 0.0000  10 Lu 3.41-3.49, 2 Pu 3.42

=====

Arrangement d

Below is a relaxed structure of Lu3Pu, with properties calculated at the PBE-GGA level.

Computed properties:
Its size of the total moment is 1.673 μB/atom.

Lattice parameters (Å, degrees): 3.4138 5.5545 6.0404 90.00 90.00 90.00
Last column: nearest neighbours and their distance in Å.
Fractional coordinates of all 4 atoms:
Lu 0.0000 0.0000 0.0065  2 Pu 3.39, 10 Lu 3.41-3.49
Lu 0.5000 0.0000 0.5019  8 Lu 3.41-3.49, 4 Pu 3.42
Lu 0.5000 0.5000 0.8288  8 Lu 3.41-3.43, 4 Pu 3.47
Pu 0.0000 0.5000 0.3295  10 Lu 3.39-3.47, 2 Pu 3.41

=====

Verdict on stability: arrangement a comes out at the bottom.

=====

Arrangement a

Below is a relaxed structure of LuPu3, with properties calculated at the PBE-GGA level.

Computed properties:
Its size of the total moment is 1.438 μB/atom.

Lattice parameters (Å, degrees): 5.1645 5.1645 5.1645 60.00 60.00 60.00
Last column: nearest neighbours and their distance in Å.
Fractional coordinates of all 4 atoms:
Lu 0.5000 0.5000 0.5000  8 Pu 3.16
Pu 0.0000 0.0000 0.0000  8 Pu 3.16
Pu 0.7500 0.7500 0.7500  4 Pu 3.16, 4 Lu 3.16
Pu 0.2500 0.2500 0.2500  4 Pu 3.16, 4 Lu 3.16

=====

Arrangement b

Below is a relaxed structure of LuPu3, with properties calculated at the PBE-GGA level.

Computed properties:
Its size of the total moment is 4.388 μB/atom.

Lattice parameters (Å, degrees): 4.7786 4.7786 4.7786 90.00 90.00 90.00
Last column: nearest neighbours and their distance in Å.
Fractional coordinates of all 4 atoms:
Lu 0.0000 0.0000 0.0000  12 Pu 3.38
Pu 0.0000 0.5000 0.5000  8 Pu 3.38, 4 Lu 3.38
Pu 0.5000 0.0000 0.5000  8 Pu 3.38, 4 Lu 3.38
Pu 0.5000 0.5000 0.0000  8 Pu 3.38, 4 Lu 3.38

=====

Verdict on stability: arrangement a comes out at the bottom.

=====

Arrangement a

Below is a relaxed structure of Lu2PuRh, with properties calculated at the PBE-GGA level.

Computed properties:
Its size of the total moment is 1.603 μB/atom.

Lattice parameters (Å, degrees): 3.3445 3.3445 8.5503 90.00 90.00 90.00
Last column: nearest neighbours and their distance in Å.
Fractional coordinates of all 4 atoms:
Lu 0.0000 0.0000 0.8061  4 Rh 2.89
Lu 0.0000 0.0000 0.1939  4 Rh 2.89
Rh 0.5000 0.5000 0.0000  8 Lu 2.89
Pu 0.5000 0.5000 0.5000  4 Pu 3.34, 8 Lu 3.53

=====

Arrangement b

Below is a relaxed structure of Lu2PuRh, with properties calculated at the PBE-GGA level.

Computed properties:
Its size of the total moment is 1.665 μB/atom.

Lattice parameters (Å, degrees): 3.5886 3.5886 9.5893 79.22 79.22 60.00
Last column: nearest neighbours and their distance in Å.
Fractional coordinates of all 4 atoms:
Lu 0.2715 0.2715 0.1856  3 Rh 2.70
Lu 0.7285 0.7285 0.8144  3 Rh 2.70
Rh 0.0000 0.0000 0.0000  6 Lu 2.70
Pu 0.5000 0.5000 0.5000  6 Pu 3.59, 6 Lu 3.60

=====

Verdict on stability: arrangement b comes out at the bottom.

=====

Arrangement a

Below is a relaxed structure of LuPu2Sb, with properties calculated at the PBE-GGA level.

Computed properties:
Its size of the total moment is 3.064 μB/atom.

Lattice parameters (Å, degrees): 5.0185 4.5338 4.5338 90.00 90.00 90.00
Last column: nearest neighbours and their distance in Å.
Fractional coordinates of all 4 atoms:
Sb 0.5000 0.0000 0.0000  4 Lu 3.21, 8 Pu 3.38
Lu 0.5000 0.5000 0.5000  4 Sb 3.21, 8 Pu 3.38
Pu 0.0000 0.0000 0.5000  4 Pu 3.21, 4 Sb 3.38, 4 Lu 3.38
Pu 0.0000 0.5000 0.0000  4 Pu 3.21, 4 Lu 3.38, 4 Sb 3.38

=====

Arrangement b

Below is a relaxed structure of LuPu2Sb, with properties calculated at the PBE-GGA level.

Computed properties:
Its size of the total moment is 3.223 μB/atom.

Lattice parameters (Å, degrees): 5.3339 5.3339 5.3339 60.00 60.00 60.00
Last column: nearest neighbours and their distance in Å.
Fractional coordinates of all 4 atoms:
Sb 0.5000 0.5000 0.5000  8 Pu 3.27
Lu 0.0000 0.0000 0.0000  8 Pu 3.27
Pu 0.2499 0.2499 0.2503  4 Lu 3.27, 4 Sb 3.27
Pu 0.7501 0.7501 0.7497  4 Lu 3.27, 4 Sb 3.27

=====

Verdict on stability: arrangement b comes out at the bottom.